# AcY2Ga4

AcY2Ga4 after structural relaxation (PBE, the Alexandria database).

Summary:
space-group type = Immm, No. 71
N(E_F) = 3.98 states/eV/f.u.
crystal system = orthorhombic
E_form = -640.8 meV per atom
uncorrected energy = -33.6 eV/f.u.

abc: 4.2375 4.4764 9.7671
angles: 103.25 102.53 90.00
Last column: nearest neighbours and their distance in Å.
Element x y z (fractional)
Y: 0.8147 0.8147 0.6295  7 Ga 3.04-3.15
Y: 0.1853 0.1853 0.3705  7 Ga 3.04-3.15
Ac: 0.5000 0.0000 0.0000  12 Ga 3.35-3.58
Ga: 0.6507 0.6507 0.3015  2 Ga 2.59
Ga: 0.3493 0.3493 0.6985  2 Ga 2.59
Ga: 0.0706 0.5706 0.1412  3 Ga 2.59-2.62
Ga: 0.9294 0.4294 0.8588  3 Ga 2.59-2.62


# Sc3Mn3Al7Si5

Sc3Mn3Al7Si5 after structural relaxation (PBE, the Alexandria database).

Summary:
space-group type = P6_3/mmc, No. 194
N(E_F) = 5.07 states/eV/f.u.
crystal system = hexagonal
uncorrected energy = -109.2 eV/f.u.
E_form (uncorrected) = -12.0 kcal/mol of atoms

abc: 8.3164 8.3164 8.9690
angles: 90.00 90.00 120.00
Last column: nearest neighbours and their distance in Å.
Element x y z (fractional)
Sc: 0.2003 0.7997 0.2500  4 Si 2.69-2.84, 3 Al 2.89-3.00
Sc: 0.2003 0.4006 0.2500  4 Si 2.69-2.84, 3 Al 2.89-3.00
Sc: 0.5994 0.7997 0.2500  4 Si 2.69-2.84, 3 Al 2.89-3.00
Sc: 0.7997 0.2003 0.7500  4 Si 2.69-2.84, 3 Al 2.89-3.00
Sc: 0.7997 0.5994 0.7500  4 Si 2.69-2.84, 3 Al 2.89-3.00
Sc: 0.4006 0.2003 0.7500  4 Si 2.69-2.84, 3 Al 2.89-3.00
Mn: 0.5000 0.5000 0.5000  4 Si 2.40-2.43, 4 Al 2.52
Mn: 0.5000 0.0000 0.5000  4 Si 2.40-2.43, 4 Al 2.52
Mn: 0.0000 0.5000 0.5000  4 Si 2.40-2.43, 4 Al 2.52
Mn: 0.5000 0.5000 0.0000  4 Si 2.40-2.43, 4 Al 2.52
Mn: 0.5000 0.0000 0.0000  4 Si 2.40-2.43, 4 Al 2.52
Mn: 0.0000 0.5000 0.0000  4 Si 2.40-2.43, 4 Al 2.52
Al: 0.1640 0.8360 0.9202  2 Mn 2.52, 3 Si 2.63-2.66, 3 Al 2.76-2.81
Al: 0.1640 0.3280 0.9202  2 Mn 2.52, 3 Si 2.63-2.66, 3 Al 2.76-2.81
Al: 0.6720 0.8360 0.9202  2 Mn 2.52, 3 Si 2.63-2.66, 3 Al 2.76-2.81
Al: 0.8360 0.1640 0.0798  2 Mn 2.52, 3 Si 2.63-2.66, 3 Al 2.76-2.81
Al: 0.8360 0.6720 0.0798  2 Mn 2.52, 3 Si 2.63-2.66, 3 Al 2.76-2.81
Al: 0.3280 0.1640 0.0798  2 Mn 2.52, 3 Si 2.63-2.66, 3 Al 2.76-2.81
Al: 0.8360 0.1640 0.4202  2 Mn 2.52, 3 Si 2.63-2.66, 3 Al 2.76-2.81
Al: 0.8360 0.6720 0.4202  2 Mn 2.52, 3 Si 2.63-2.66, 3 Al 2.76-2.81
Al: 0.3280 0.1640 0.4202  2 Mn 2.52, 3 Si 2.63-2.66, 3 Al 2.76-2.81
Al: 0.1640 0.8360 0.5798  2 Mn 2.52, 3 Si 2.63-2.66, 3 Al 2.76-2.81
Al: 0.1640 0.3280 0.5798  2 Mn 2.52, 3 Si 2.63-2.66, 3 Al 2.76-2.81
Al: 0.6720 0.8360 0.5798  2 Mn 2.52, 3 Si 2.63-2.66, 3 Al 2.76-2.81
Al: 0.0000 0.0000 0.2500  6 Al 2.81, 3 Sc 2.89
Al: 0.0000 0.0000 0.7500  6 Al 2.81, 3 Sc 2.89
Si: 0.5597 0.4403 0.2500  2 Mn 2.40, 4 Al 2.63, 2 Si 2.67
Si: 0.5597 0.1194 0.2500  2 Mn 2.40, 4 Al 2.63, 2 Si 2.67
Si: 0.8806 0.4403 0.2500  2 Mn 2.40, 4 Al 2.63, 2 Si 2.67
Si: 0.4403 0.5597 0.7500  2 Mn 2.40, 4 Al 2.63, 2 Si 2.67
Si: 0.4403 0.8806 0.7500  2 Mn 2.40, 4 Al 2.63, 2 Si 2.67
Si: 0.1194 0.5597 0.7500  2 Mn 2.40, 4 Al 2.63, 2 Si 2.67
Si: 0.3333 0.6667 0.4604  3 Mn 2.43, 3 Al 2.66, 3 Sc 2.69
Si: 0.6667 0.3333 0.5396  3 Mn 2.43, 3 Al 2.66, 3 Sc 2.69
Si: 0.6667 0.3333 0.9604  3 Mn 2.43, 3 Al 2.66, 3 Sc 2.69
Si: 0.3333 0.6667 0.0396  3 Mn 2.43, 3 Al 2.66, 3 Sc 2.69